The following is a DFT calculation (PBE-GGA) of a relaxed structure of Ba2AlTl3.

Calculated values
Symmetry: No. 8
Magnetization, μB/f.u.: 0.000
Energy of formation from the pure elements, eV per atom: -0.322
Density of states at the Fermi level, states/eV per cell: 2.04

a b c (Å): 6.6462 6.6462 8.5815
angles (deg): 129.49 129.49 47.16
Sites, in units of the cell vectors:
1 Ba 0.0000 0.0000 0.0000
2 Ba 0.0949 0.0949 0.5986
3 Al 0.3811 0.3811 0.1997
4 Tl 0.3845 0.3845 0.5573
5 Tl 0.6933 0.6933 0.3982
6 Tl 0.7208 0.7208 0.0419

---

The following is a DFT calculation (PBE-GGA) of a relaxed structure of CdAg2P.

Calculated values
Symmetry: No. 10
Magnetization, μB/f.u.: 0.000
Energy of formation from the pure elements, eV per atom: 0.205
Distance to the lowest polymorph of the same formula, meV/atom: 51
Density of states at the Fermi level, states/eV per cell: 1.26

a b c (Å): 3.0416 4.3854 5.6816
angles (deg): 90.00 102.25 90.00
Sites, in units of the cell vectors:
1 Cd 0.0000 0.0000 0.0000
2 Ag 0.3610 0.5000 0.7393
3 Ag 0.6390 0.5000 0.2607
4 P 0.0000 0.0000 0.5000

---

The following is a DFT calculation (PBE-GGA) of a relaxed structure of HgB.

Calculated values
Symmetry: No. 59
Magnetization, μB/f.u.: 0.000
Energy of formation from the pure elements, eV per atom: 0.774
Distance to the lowest polymorph of the same formula, meV/atom: 294
Density of states at the Fermi level, states/eV per cell: 1.73

a b c (Å): 3.1983 10.0608 6.7321
angles (deg): 90.00 90.00 90.00
Sites, in units of the cell vectors:
1 Hg 0.2500 0.0917 0.1723
2 Hg 0.2500 0.4083 0.1723
3 Hg 0.2500 0.7500 0.3025
4 Hg 0.7500 0.2500 0.6975
5 Hg 0.7500 0.5917 0.8277
6 Hg 0.7500 0.9083 0.8277
7 B 0.2500 0.2500 0.9449
8 B 0.2500 0.5066 0.4930
9 B 0.2500 0.9934 0.4930
10 B 0.7500 0.0066 0.5070
11 B 0.7500 0.4934 0.5070
12 B 0.7500 0.7500 0.0551

---

The following is a DFT calculation (PBE-GGA) of a relaxed structure of Cd2AgSnCl8.

Calculated values
Symmetry: No. 119
Magnetization, μB/f.u.: 0.000
ΔE_f (raw), kcal/mol of atoms: -17.9
Density of states at the Fermi level, states/eV per cell: 5.46

a b c (Å): 7.6509 7.6509 7.6509
angles (deg): 110.64 110.64 107.16
Sites, in units of the cell vectors:
1 Cd 0.0000 0.0000 0.0000
2 Cd 0.7500 0.2500 0.5000
3 Ag 0.5000 0.5000 0.0000
4 Sn 0.2500 0.7500 0.5000
5 Cl 0.0003 0.8029 0.1974
6 Cl 0.1507 0.4547 0.6960
7 Cl 0.1971 0.9997 0.8026
8 Cl 0.1971 0.3945 0.1974
9 Cl 0.5453 0.2413 0.6960
10 Cl 0.5453 0.8493 0.3040
11 Cl 0.6055 0.8029 0.8026
12 Cl 0.7587 0.4547 0.3040